This record from Alexandria via LeMat-Bulk describes Be2ZnGa2Pt5 after structural relaxation. The functional is PBE-GGA.

Computed properties:
As for the total moment: 0.0 μB/f.u. Its energy is -50.188 eV/f.u.

The structure in CIF format:
```
data_Be2ZnGa2Pt5
_cell_length_a 9.054
_cell_length_b 9.054
_cell_length_c 3.467
_cell_angle_alpha 90.00
_cell_angle_beta 90.00
_cell_angle_gamma 90.00
_space_group_name_H-M_alt 'P 4/m b m'
_space_group_IT_number 127
_space_group_name_Hall '-P 4 2ab'
loop_
_atom_site_label
_atom_site_fract_x
_atom_site_fract_y
_atom_site_fract_z
Be1 0.128 0.372 0.000
Zn1 0.000 0.000 0.000
Ga1 0.171 0.671 0.000
Pt1 0.000 0.500 0.500
Pt2 0.089 0.199 0.500
```